Computed, not measured: InNiTeO6 after structural relaxation at the PBE with a Hubbard U level of DFT.

Results
* calculated total energy: -95.13 eV per cell
* spin magnetization: 0.1117 μB/atom

a = 4.786 Å, b = 4.786 Å, c = 9.470 Å
α = 90.00°, β = 90.00°, γ = 90.00°
Space group P4_2nm (No. 102)
Symmetry-distinct sites (fractional):
In 0.000 0.000 0.000 x2
Ni 0.000 0.000 0.332 x2
Te 0.000 0.000 0.665 x2
O 0.182 0.182 0.506 x4
O 0.194 0.194 0.817 x4
O 0.210 0.210 0.171 x4